# 1
Here is LaPt4 after structural relaxation from the Alexandria database. Energies are from PBE. Values from VASP.

Structure (Quantum ESPRESSO input):
```
&SYSTEM
  ibrav = 0, nat = 5, ntyp = 2
/
ATOMIC_SPECIES
La 138.91 La.upf
Pt 195.08 Pt.upf
CELL_PARAMETERS angstrom
-3.097 3.097 3.097
3.097 -3.097 3.097
3.097 3.097 -3.097
ATOMIC_POSITIONS angstrom
La 0.000 0.000 0.000
Pt 1.549 -1.549 1.549
Pt 1.549 1.549 1.549
Pt -1.549 1.549 1.549
Pt 1.549 1.549 -1.549
```

DFT formation energy (eV/atom): 0.52
Space group: No. 229
Crystal system: cubic

=====

# 2
Here is La5Pt3 after structural relaxation from the Alexandria database. Energies are from PBE. Values from VASP.

Structure (Quantum ESPRESSO input):
```
&SYSTEM
  ibrav = 0, nat = 16, ntyp = 2
/
ATOMIC_SPECIES
Pt 195.08 Pt.upf
La 138.91 La.upf
CELL_PARAMETERS angstrom
-2.411 2.715 -5.468
-3.487 -6.038 -5.400
-8.469 2.279 0.926
ATOMIC_POSITIONS angstrom
Pt -4.908 -0.811 -6.117
La -7.813 2.446 -3.219
La -7.786 0.157 -6.338
La -6.554 -3.491 -6.722
Pt -9.459 -0.234 -3.824
La -4.839 2.069 -4.718
Pt -0.603 0.679 -1.367
La -11.586 -0.332 -6.874
La -10.652 2.696 -5.783
Pt -5.263 0.437 -1.402
Pt -9.104 -1.481 -8.540
La -2.781 -0.712 -3.067
La -6.581 -1.201 -3.604
La -9.528 -3.113 -5.223
Pt -1.808 2.036 -4.101
La -3.715 -3.740 -4.158
```

DFT formation energy (eV/atom): -0.87
Space group: No. 140
Energy above the lowest structure with this stoichiometry (meV/atom): 73
Crystal system: tetragonal